No. 1
Density functional theory data (PBE) for crystalline NiS at its relaxed geometry.

a b c (Å): 7.747 10.192 7.222
angles (deg): 90.00 90.00 90.00
Fractional coordinates of all 32 atoms:
S: 0.521 0.750 0.250
S: 0.479 0.750 0.750
Ni: 0.750 0.878 0.250
S: 0.771 0.000 0.500
S: 0.271 0.000 0.000
Ni: 0.000 0.628 0.000
S: 0.729 0.000 0.000
S: 0.979 0.750 0.250
Ni: 0.250 0.122 0.250
Ni: 0.000 0.372 0.000
Ni: 0.250 0.622 0.750
S: 0.729 0.500 0.500
Ni: 0.000 0.128 0.500
Ni: 0.250 0.378 0.250
Ni: 0.500 0.628 0.500
Ni: 0.750 0.122 0.750
S: 0.021 0.250 0.250
S: 0.979 0.250 0.750
S: 0.479 0.250 0.250
S: 0.521 0.250 0.750
Ni: 0.000 0.872 0.500
Ni: 0.250 0.878 0.750
S: 0.229 0.500 0.000
Ni: 0.500 0.872 0.000
S: 0.229 0.000 0.500
Ni: 0.500 0.128 0.000
Ni: 0.750 0.622 0.250
Ni: 0.750 0.378 0.750
S: 0.771 0.500 0.000
S: 0.021 0.750 0.750
Ni: 0.500 0.372 0.500
S: 0.271 0.500 0.500

Output
As for the raw formation energy: -0.27 eV per atom. The space group is Fddd (70). Its total magnetization is 0.00 Bohr magnetons per cell.



No. 2
Density functional theory data (PBE) for crystalline Li2MgTa at its relaxed geometry.

a b c (Å): 2.836 4.917 4.917
angles (deg): 90.00 90.00 90.00
Fractional coordinates of all 4 atoms:
Ta: 0.500 0.000 0.500
Mg: 0.500 0.500 0.000
Li: 0.000 0.000 0.000
Li: 0.000 0.500 0.500

Output
The space group is P4/mmm (123). Its total magnetization is 0.00 Bohr magnetons per cell. As for the energy of formation: 2.07 eV/f.u.



| no. | density (g/cm³) |
| --- | --- |
| 1 | 4.2 |
| 2 | 5.3 |